Computed, not measured: a relaxed structure of Pm5SnTe5 at the GGA-PBE level of DFT.

Cell lengths 6.3236, 7.7414, 8.9153 Å; angles 106.69, 90.00, 114.11 degrees
Sites, in units of the cell vectors:
Pm (0.8368, 0.6736, 0.6687)
Pm (0.8373, 0.6746, 0.1692)
Pm (0.1632, 0.3264, 0.3313)
Pm (0.1627, 0.3254, 0.8308)
Pm (0.5000, 0.0000, 0.0000)
Te (0.3338, 0.6677, 0.1698)
Te (0.6662, 0.3323, 0.8302)
Te (0.3344, 0.6688, 0.6633)
Te (0.0000, 0.0000, 0.5000)
Te (0.6656, 0.3312, 0.3367)
Sn (0.0000, 0.0000, 0.0000)

Computed properties:
ΔE_f (raw) = -1.351 eV per atom
Calculated total energy = -58.33 eV/cell